# 1
# PaTaTi4

PaTaTi4 after structural relaxation (PBE-GGA, Alexandria).

a b c (Å): 7.5854 7.5854 7.5854
angles (deg): 90.00 90.00 90.00
Space group F-43m (No. 216)
Asymmetric unit:
Pa (0.0000, 0.0000, 0.0000) [4 per cell]
Ta (0.2500, 0.2500, 0.7500) [4 per cell]
Ti (0.1248, 0.1248, 0.3752) [16 per cell]

Values from the calculation:
energy of formation: 15.9 kJ/mol of atoms
DOS at the Fermi energy: 9.38 states/eV/f.u.



# 2
# AlSiIrRu

AlSiIrRu after structural relaxation (PBE-GGA, Alexandria).

a b c (Å): 5.9559 5.9559 5.9559
angles (deg): 90.00 90.00 90.00
Space group F-43m (No. 216)
Asymmetric unit:
Al (0.0000, 0.0000, 0.0000) [4 per cell]
Si (0.0000, 0.0000, 0.5000) [4 per cell]
Ir (0.2500, 0.2500, 0.7500) [4 per cell]
Ru (0.2500, 0.2500, 0.2500) [4 per cell]

Values from the calculation:
ΔE to the lowest computed polymorph: 0 meV/atom
ΔE_f (raw): -0.735 eV/atom
DOS at the Fermi energy: 1.21 states/eV/f.u.



# 3
# CdPd14Au

CdPd14Au after structural relaxation (PBE-GGA, Alexandria).

a b c (Å): 5.6202 5.6202 7.9949
angles (deg): 90.00 90.00 90.00
Space group P4/mmm (No. 123)
Asymmetric unit:
Cd (0.0000, 0.0000, 0.0000) [1 per cell]
Pd (0.0000, 0.0000, 0.5000) [1 per cell]
Pd (0.0000, 0.5000, 0.0000) [2 per cell]
Pd (0.0000, 0.5000, 0.5000) [2 per cell]
Pd (0.2503, 0.2503, 0.2539) [8 per cell]
Pd (0.5000, 0.5000, 0.5000) [1 per cell]
Au (0.5000, 0.5000, 0.0000) [1 per cell]

Values from the calculation:
energy of formation: -5.9 kJ/mol of atoms
DOS at the Fermi energy: 36.15 states/eV/f.u.



# 4
# LaBr3N

LaBr3N after structural relaxation (PBE-GGA, Alexandria).

a b c (Å): 5.9110 7.2774 9.1705
angles (deg): 78.97 89.94 68.51
Space group P-1 (No. 2)
Asymmetric unit:
La (0.0064, 0.4270, 0.2532) [2 per cell]
Br (0.1615, 0.2215, 0.0018) [2 per cell]
Br (0.1652, 0.2210, 0.5811) [2 per cell]
Br (0.4921, 0.4612, 0.2665) [2 per cell]
N (0.0236, 0.9242, 0.6817) [2 per cell]

Values from the calculation:
ΔE to the lowest computed polymorph: 0 meV/atom
ΔE_f (raw): -0.552 eV/atom



# 5
# YMoAu

YMoAu after structural relaxation (PBE-GGA, Alexandria).

a b c (Å): 4.7201 4.7201 3.2577
angles (deg): 90.00 90.00 120.00
Space group P-6m2 (No. 187)
Asymmetric unit:
Y (0.0000, 0.0000, 0.0000) [1 per cell]
Mo (0.6667, 0.3333, 0.5000) [1 per cell]
Au (0.3333, 0.6667, 0.5000) [1 per cell]

Values from the calculation:
ΔE to the lowest computed polymorph: 1 meV/atom
energy of formation: 15.7 kJ/mol of atoms
DOS at the Fermi energy: 1.70 states/eV/f.u.



# 6
# SrBiPCl2

SrBiPCl2 after structural relaxation (PBE-GGA, Alexandria).

a b c (Å): 5.2768 5.2768 6.2637
angles (deg): 90.00 90.00 90.00
Space group P4/mmm (No. 123)
Asymmetric unit:
Sr (0.0000, 0.0000, 0.0000) [1 per cell]
Bi (0.5000, 0.5000, 0.5000) [1 per cell]
P (0.0000, 0.0000, 0.5000) [1 per cell]
Cl (0.0000, 0.5000, 0.0000) [2 per cell]

Values from the calculation:
ΔE to the lowest computed polymorph: 268 meV/atom
ΔE_f (raw): -0.391 eV/atom
DOS at the Fermi energy: 4.56 states/eV/f.u.



Number 1: total magnetic moment 0.00 μB per atom. Number 2: total magnetic moment 0.00 μB per atom. Number 3: total magnetic moment 0.10 μB per atom. Number 4: total magnetic moment 0.60 μB per atom. Number 5: total magnetic moment 0.00 μB per atom. Number 6: total magnetic moment 0.00 μB per atom.